# Ho2CoSiO6 | Alexandria | PBE+U | relaxed
# Spin magnetization: 6.02 μB per cell
# Calculated total energy: -7.775 eV per atom
data_Ho2CoSiO6
_cell_length_a 5.204
_cell_length_b 5.513
_cell_length_c 9.033
_cell_angle_alpha 90.00
_cell_angle_beta 124.71
_cell_angle_gamma 90.00
_symmetry_space_group_name_H-M 'P 1 21/c 1'
_symmetry_Int_Tables_number 14
loop_
_symmetry_equiv_pos_as_xyz
'x,y,z'
'-x,-y,-z'
'-x,y+1/2,-z+1/2'
'x,-y+1/2,z+1/2'
loop_
_atom_site_label
_atom_site_fract_x
_atom_site_fract_y
_atom_site_fract_z
Ho1 0.231 0.069 0.250
Co1 0.000 0.000 0.500
Si1 0.500 0.000 0.000
O1 0.168 0.178 0.952
O2 0.269 0.720 0.943
O3 0.372 0.034 0.769